[1]
Tb2Nd3Dy6Pb: relaxed, PBE. Values from VASP.

```
&SYSTEM
  ibrav = 0, nat = 12, ntyp = 4
/
ATOMIC_SPECIES
Pb 207.20 Pb.upf
Dy 162.50 Dy.upf
Nd 144.24 Nd.upf
Tb 158.93 Tb.upf
CELL_PARAMETERS angstrom
6.164 -0.001 0.013
-3.082 5.339 0.013
-1.060 -1.836 11.540
ATOMIC_POSITIONS crystal
Pb 0.000 0.000 0.000
Dy 0.919 0.592 0.756
Dy 0.081 0.408 0.244
Dy 0.246 0.246 0.754
Dy 0.754 0.754 0.246
Dy 0.408 0.081 0.244
Dy 0.592 0.919 0.756
Nd 0.168 0.832 0.500
Nd 0.500 0.500 0.500
Nd 0.832 0.168 0.500
Tb 0.334 0.666 0.000
Tb 0.666 0.334 0.000
```

Values from the calculation:
V = 380.0 Å³/cell
Calculated total energy = -4.6265 eV per atom
ΔE_f = -0.05 eV per atom


[2]
Ga3IrO: relaxed, PBE. Values from VASP.

```
&SYSTEM
  ibrav = 0, nat = 5, ntyp = 3
/
ATOMIC_SPECIES
Ga 69.72 Ga.upf
Ir 192.22 Ir.upf
O 16.00 O.upf
CELL_PARAMETERS angstrom
4.163 0.000 0.000
0.000 4.163 0.000
0.000 0.000 4.163
ATOMIC_POSITIONS crystal
Ga 0.500 0.000 0.000
Ga 0.000 0.500 0.000
Ga 0.000 0.000 0.500
Ir 0.500 0.500 0.500
O 0.000 0.000 0.000
```

Values from the calculation:
V = 72.2 Å³/cell
Calculated total energy = -4.6820 eV per atom
Uncorrected formation energy = -0.10 eV per atom
Excess energy over the best structure of this formula in the dataset = 0 meV per atom


[3]
RbAl3Pd: relaxed, PBE. Values from VASP.

```
&SYSTEM
  ibrav = 0, nat = 5, ntyp = 3
/
ATOMIC_SPECIES
Al 26.98 Al.upf
Pd 106.42 Pd.upf
Rb 85.47 Rb.upf
CELL_PARAMETERS angstrom
4.943 0.000 0.000
0.000 4.943 0.000
0.000 0.000 4.943
ATOMIC_POSITIONS crystal
Al 0.000 0.000 0.500
Al 0.000 0.500 0.000
Al 0.500 0.000 0.000
Pd 0.000 0.000 0.000
Rb 0.500 0.500 0.500
```

Values from the calculation:
V = 120.8 Å³/cell
Calculated total energy = -3.4717 eV per atom
ΔE_f = 0.01 eV per atom
Excess energy over the best structure of this formula in the dataset = 0 meV per atom


[4]
ZrSc8: relaxed, PBE. Values from VASP.

```
&SYSTEM
  ibrav = 0, nat = 9, ntyp = 2
/
ATOMIC_SPECIES
Sc 44.96 Sc.upf
Zr 91.22 Zr.upf
CELL_PARAMETERS angstrom
-2.787 0.607 3.575
-6.585 -2.518 -1.781
3.126 -6.536 0.621
ATOMIC_POSITIONS crystal
Sc 0.662 0.675 0.000
Sc 0.671 0.329 0.671
Sc 0.338 0.000 0.675
Sc 0.662 0.000 0.325
Sc 0.329 0.671 0.329
Sc 0.000 0.329 0.329
Sc 0.000 0.671 0.671
Sc 0.338 0.325 0.000
Zr 0.000 0.000 0.000
```

Values from the calculation:
V = 217.9 Å³/cell
Calculated total energy = -6.5462 eV per atom
ΔE_f = 0.03 eV per atom


[5]
NbSb3Au: relaxed, PBE. Values from VASP.

```
&SYSTEM
  ibrav = 0, nat = 5, ntyp = 3
/
ATOMIC_SPECIES
Sb 121.76 Sb.upf
Nb 92.91 Nb.upf
Au 196.97 Au.upf
CELL_PARAMETERS angstrom
-4.619 1.735 1.837
-0.593 -4.465 2.726
2.456 2.185 4.113
ATOMIC_POSITIONS crystal
Sb 0.500 0.000 0.000
Sb 0.000 0.500 0.000
Sb 0.000 0.000 0.500
Nb 0.500 0.500 0.500
Au 0.000 0.000 0.000
```

Values from the calculation:
V = 145.9 Å³/cell
Calculated total energy = -4.0039 eV per atom
Uncorrected formation energy = 1.14 eV per atom
Excess energy over the best structure of this formula in the dataset = 676 meV per atom


[6]
LiEu2Co: relaxed, PBE. Values from VASP.

```
&SYSTEM
  ibrav = 0, nat = 4, ntyp = 3
/
ATOMIC_SPECIES
Li 6.94 Li.upf
Eu 151.96 Eu.upf
Co 58.93 Co.upf
CELL_PARAMETERS angstrom
-0.304 0.242 -3.495
-3.463 -0.552 0.263
-1.280 8.352 0.689
ATOMIC_POSITIONS crystal
Li 0.500 0.500 0.500
Eu 0.000 0.000 0.199
Eu 0.000 0.000 0.801
Co 0.500 0.500 0.000
```

Values from the calculation:
V = 104.8 Å³/cell
Calculated total energy = -7.2626 eV per atom
ΔE_f = 0.13 eV per atom
Excess energy over the best structure of this formula in the dataset = 0 meV per atom


[7]
BaHo2O: relaxed, PBE. Values from VASP.

```
&SYSTEM
  ibrav = 0, nat = 4, ntyp = 3
/
ATOMIC_SPECIES
Ho 164.93 Ho.upf
O 16.00 O.upf
Ba 137.33 Ba.upf
CELL_PARAMETERS angstrom
3.560 0.000 0.000
1.780 3.083 0.000
1.780 1.028 9.750
ATOMIC_POSITIONS crystal
Ho 0.123 0.123 0.631
Ho 0.877 0.877 0.369
O 0.500 0.500 0.500
Ba 0.000 0.000 0.000
```

Values from the calculation:
V = 107.0 Å³/cell
Calculated total energy = -5.1381 eV per atom
Uncorrected formation energy = -1.13 eV per atom


[8]
Na2LaTe: relaxed, PBE. Values from VASP.

```
&SYSTEM
  ibrav = 0, nat = 8, ntyp = 3
/
ATOMIC_SPECIES
Te 127.60 Te.upf
Na 22.99 Na.upf
La 138.91 La.upf
CELL_PARAMETERS angstrom
-0.951 -8.853 3.838
4.961 2.859 7.824
-0.684 -2.109 7.212
ATOMIC_POSITIONS crystal
Te 0.500 0.500 0.000
Te 0.250 0.750 0.500
Na 0.375 0.432 0.750
Na 0.182 0.625 0.250
Na 0.875 0.818 0.750
Na 0.568 0.125 0.250
La 0.000 0.000 0.000
La 0.750 0.250 0.500
```

Values from the calculation:
V = 296.2 Å³/cell
Calculated total energy = -3.0251 eV per atom
Uncorrected formation energy = -0.35 eV per atom


[9]
Dy2Nb2Ge2C: relaxed, PBE. Values from VASP.

```
&SYSTEM
  ibrav = 0, nat = 7, ntyp = 4
/
ATOMIC_SPECIES
Dy 162.50 Dy.upf
Nb 92.91 Nb.upf
Ge 72.64 Ge.upf
C 12.01 C.upf
CELL_PARAMETERS angstrom
4.269 0.000 0.000
0.000 4.269 0.000
-2.135 -2.135 7.547
ATOMIC_POSITIONS crystal
Dy 0.834 0.834 0.668
Dy 0.166 0.166 0.332
Nb 0.500 0.000 0.000
Nb 0.000 0.500 0.000
Ge 0.371 0.371 0.742
Ge 0.629 0.629 0.258
C 0.000 0.000 0.000
```

Values from the calculation:
V = 137.5 Å³/cell
Calculated total energy = -7.4736 eV per atom
ΔE_f = -0.64 eV per atom


[10]
Sm2Y5Ho2: relaxed, PBE. Values from VASP.

```
&SYSTEM
  ibrav = 0, nat = 9, ntyp = 3
/
ATOMIC_SPECIES
Y 88.91 Y.upf
Sm 150.36 Sm.upf
Ho 164.93 Ho.upf
CELL_PARAMETERS angstrom
-3.406 -4.044 3.200
2.748 -3.882 -3.967
7.159 -5.670 2.447
ATOMIC_POSITIONS crystal
Y 0.777 0.555 0.889
Y 0.113 0.223 0.555
Y 0.000 0.000 0.000
Y 0.223 0.445 0.111
Y 0.887 0.777 0.445
Sm 0.555 0.111 0.777
Sm 0.445 0.889 0.223
Ho 0.334 0.668 0.666
Ho 0.666 0.332 0.334
```

Values from the calculation:
V = 290.1 Å³/cell
Calculated total energy = -5.6358 eV per atom
ΔE_f = 0.02 eV per atom
Excess energy over the best structure of this formula in the dataset = 0 meV per atom


[11]
La4PrEr2: relaxed, PBE. Values from VASP.

```
&SYSTEM
  ibrav = 0, nat = 14, ntyp = 3
/
ATOMIC_SPECIES
Er 167.26 Er.upf
La 138.91 La.upf
Pr 140.91 Pr.upf
CELL_PARAMETERS angstrom
7.005 0.000 0.000
3.502 8.333 -1.212
3.502 1.567 8.274
ATOMIC_POSITIONS crystal
Er 0.716 0.034 0.534
Er 0.500 0.500 0.500
Er 0.284 0.966 0.466
Er 0.500 0.000 0.000
La 0.790 0.242 0.742
La 0.153 0.344 0.350
La 0.153 0.850 0.844
La 0.210 0.758 0.258
La 0.774 0.758 0.258
La 0.226 0.242 0.742
La 0.847 0.656 0.650
La 0.847 0.150 0.156
Pr 0.500 0.500 0.000
Pr 0.000 0.500 0.000
```

Values from the calculation:
V = 496.3 Å³/cell
Calculated total energy = -4.5754 eV per atom
ΔE_f = 0.23 eV per atom
Excess energy over the best structure of this formula in the dataset = 157 meV per atom


[12]
HfTl5Se4: relaxed, PBE. Values from VASP.

```
&SYSTEM
  ibrav = 0, nat = 10, ntyp = 3
/
ATOMIC_SPECIES
Tl 204.38 Tl.upf
Se 78.96 Se.upf
Hf 178.49 Hf.upf
CELL_PARAMETERS angstrom
4.018 0.000 0.000
0.000 8.701 -0.874
-2.009 -2.156 8.977
ATOMIC_POSITIONS crystal
Tl 0.807 0.678 0.614
Tl 0.153 0.778 0.306
Tl 0.847 0.222 0.694
Tl 0.193 0.322 0.386
Tl 0.500 0.500 0.000
Se 0.979 0.777 0.959
Se 0.652 0.044 0.304
Se 0.021 0.223 0.041
Se 0.348 0.956 0.696
Hf 0.500 0.000 0.000
```

Values from the calculation:
V = 306.3 Å³/cell
Calculated total energy = -4.1670 eV per atom
Uncorrected formation energy = -0.59 eV per atom


> Look up the V of the sixth one.

104.8 Å³/cell